A geometry-optimized TlBiAuBr2 structure, computed with PBE.

The space group is P4/mmm (No. 123) and the conventional cell measures 5.571, 5.571 and 6.646 Å, with angles of 90.00, 90.00 and 90.00 degrees. The inequivalent atoms are Tl at (0.000, 0.000, 0.000), Bi at (0.000, 0.000, 0.500), Au at (0.500, 0.500, 0.000) and Br at (0.000, 0.500, 0.500).

As for the total magnetization: 0.0 μB/cell. Its uncorrected formation energy is 0.12 eV/atom. The total DFT energy (no corrections) is -2.449 eV/atom.

A geometry-optimized HgPt2W structure, computed with PBE.

The space group is P4/mmm (No. 123) and the conventional cell measures 4.038, 4.038 and 4.150 Å, with angles of 90.00, 90.00 and 90.00 degrees. The inequivalent atoms are Hg at (0.000, 0.000, 0.000), Pt at (0.000, 0.500, 0.500) and W at (0.500, 0.500, 0.000).

As for the total magnetization: 0.0 μB/cell. The value obtained for the formation energy is 0.439 eV per atom. The total DFT energy (no corrections) is -5.895 eV/atom.

A geometry-optimized TiHN2O structure, computed with PBE.

The space group is P4/mmm (No. 123) and the conventional cell measures 2.902, 2.902 and 4.354 Å, with angles of 90.00, 90.00 and 90.00 degrees. The inequivalent atoms are Ti at (0.000, 0.000, 0.000), H at (0.500, 0.500, 0.500), N at (0.000, 0.500, 0.500) and O at (0.500, 0.500, 0.000).

As for the total magnetization: 0.0 μB/cell. The total DFT energy (no corrections) is -6.268 eV/atom.

A geometry-optimized Nb3TcPt structure, computed with PBE.

The space group is Pm-3m (No. 221) and the conventional cell measures 4.732, 4.732 and 4.732 Å, with angles of 90.00, 90.00 and 90.00 degrees. The inequivalent atoms are Nb at (0.000, 0.000, 0.500), Tc at (0.000, 0.000, 0.000) and Pt at (0.500, 0.500, 0.500).

As for the offset from the most stable computed form: 0 meV/atom. As for the total magnetization: 0.0 μB/cell. The value obtained for the formation energy is 1.010 eV per atom. The total DFT energy (no corrections) is -8.314 eV/atom.

A geometry-optimized Ba5Zr structure, computed with PBE.

The space group is Amm2 (No. 38) and the conventional cell measures 6.736, 4.122 and 22.076 Å, with angles of 90.00, 90.00 and 90.00 degrees. The inequivalent atoms are Ba at (0.000, 0.000, 0.000), Ba at (0.000, 0.000, 0.298), Ba at (0.500, 0.000, 0.096), Ba at (0.500, 0.000, 0.419), Ba at (0.500, 0.000, 0.745) and Zr at (0.000, 0.000, 0.650).

As for the offset from the most stable computed form: 50 meV/atom. As for the total magnetization: 3.3 μB/cell. The value obtained for the formation energy is 0.377 eV per atom. The total DFT energy (no corrections) is -2.650 eV/atom.

A geometry-optimized Ba2TaPt structure, computed with PBE.

The space group is Fm-3m (No. 225) and the conventional cell measures 7.999, 7.999 and 7.999 Å, with angles of 90.00, 90.00 and 90.00 degrees. The inequivalent atoms are Ba at (0.250, 0.250, 0.250), Ta at (0.000, 0.000, 0.000) and Pt at (0.000, 0.000, 0.500).

As for the offset from the most stable computed form: 701 meV/atom. As for the total magnetization: 18.7 μB/cell. The value obtained for the formation energy is 0.760 eV per atom. The total DFT energy (no corrections) is -4.675 eV/atom.

A geometry-optimized InCo2Ru structure, computed with PBE.

The space group is I-42d (No. 122) and the conventional cell measures 3.800, 3.800 and 17.658 Å, with angles of 90.00, 90.00 and 90.00 degrees. The inequivalent atoms are In at (0.000, 0.000, 0.000), Co at (0.193, 0.250, 0.625) and Ru at (0.000, 0.000, 0.500).

As for the total magnetization: 14.8 μB/cell. The value obtained for the formation energy is 0.658 eV per atom. The total DFT energy (no corrections) is -5.899 eV/atom.

A geometry-optimized BaCu2As structure, computed with PBE.

The space group is Pmmm (No. 47) and the conventional cell measures 4.243, 4.865 and 4.891 Å, with angles of 90.00, 90.00 and 90.00 degrees. The inequivalent atoms are Ba at (0.000, 0.000, 0.000), Cu at (0.500, 0.500, 0.248) and As at (0.000, 0.500, 0.500).

As for the total magnetization: 0.0 μB/cell. The value obtained for the formation energy is -0.294 eV per atom. The total DFT energy (no corrections) is -3.985 eV/atom.